Entry 1:
A plane-wave DFT calculation with PBE was carried out for a relaxed structure of ThScIrOs.

Properties
V = 20.04 Å³/atom
energy relative to the elements = -0.52 eV per atom
electronic total energy = -143.6 eV for the cell shown
D(E_F) = 8.8 states/eV/cell

Cell: 6.844 6.844 6.844 Å, 90.00 90.00 90.00°
Positions (direct):
Th 0.000 0.000 0.000
Th 0.000 0.500 0.500
Th 0.500 0.000 0.500
Th 0.500 0.500 0.000
Sc 0.000 0.000 0.500
Sc 0.000 0.500 0.000
Sc 0.500 0.000 0.000
Sc 0.500 0.500 0.500
Ir 0.250 0.250 0.750
Ir 0.250 0.750 0.250
Ir 0.750 0.250 0.250
Ir 0.750 0.750 0.750
Os 0.250 0.250 0.250
Os 0.250 0.750 0.750
Os 0.750 0.250 0.750
Os 0.750 0.750 0.250


Entry 2:
A plane-wave DFT calculation with PBE was carried out for a relaxed structure of Sr3PuPa2As6.

Properties
V = 28.14 Å³/atom
energy relative to the elements = -1.15 eV per atom
electronic total energy = -80.0 eV for the cell shown
D(E_F) = 18.9 states/eV/cell

Cell: 7.404 7.404 7.529 Å, 99.44 99.44 119.99°
Positions (direct):
Sr 0.000 0.000 0.000
Sr 0.335 0.665 0.000
Sr 0.665 0.335 0.000
Pu 0.500 0.500 0.500
Pa 0.167 0.833 0.500
Pa 0.833 0.167 0.500
As 0.085 0.427 0.282
As 0.230 0.230 0.718
As 0.427 0.085 0.282
As 0.573 0.915 0.718
As 0.770 0.770 0.282
As 0.915 0.573 0.718


Entry 3:
A plane-wave DFT calculation with PBE was carried out for a relaxed structure of BaBe2W.

Properties
V = 17.60 Å³/atom
energy relative to the elements = 1.15 eV per atom
electronic total energy = -35.5 eV for the cell shown
D(E_F) = 3.6 states/eV/cell

Cell: 6.998 7.088 2.840 Å, 90.00 91.75 90.00°
Positions (direct):
Ba 0.000 0.000 0.000
Ba 0.500 0.500 0.000
Be 0.250 0.250 0.500
Be 0.250 0.750 0.500
Be 0.750 0.250 0.500
Be 0.750 0.750 0.500
W 0.000 0.500 0.000
W 0.500 0.000 0.000


Entry 4:
A plane-wave DFT calculation with PBE was carried out for a relaxed structure of LiTc2PtCl.

Properties
V = 16.18 Å³/atom
formation energy (no corrections) = 1280 meV/atom
electronic total energy = -24.1 eV for the cell shown
D(E_F) = 5.6 states/eV/cell

Cell: 4.562 4.562 3.887 Å, 90.00 90.00 90.00°
Positions (direct):
Li 0.000 0.000 0.000
Tc 0.000 0.500 0.000
Tc 0.500 0.000 0.000
Pt 0.500 0.500 0.500
Cl 0.000 0.000 0.500


Entry 5:
A plane-wave DFT calculation with PBE was carried out for a relaxed structure of Ag2Mo.

Properties
V = 17.06 Å³/atom
energy relative to the elements = 0.65 eV per atom
electronic total energy = -58.3 eV for the cell shown
D(E_F) = 13.5 states/eV/cell

Cell: 2.713 15.590 4.840 Å, 90.00 90.00 90.00°
Positions (direct):
Ag 0.000 0.053 0.250
Ag 0.000 0.280 0.750
Ag 0.000 0.720 0.250
Ag 0.000 0.947 0.750
Ag 0.500 0.220 0.250
Ag 0.500 0.447 0.750
Ag 0.500 0.553 0.250
Ag 0.500 0.780 0.750
Mo 0.000 0.388 0.250
Mo 0.000 0.612 0.750
Mo 0.500 0.112 0.750
Mo 0.500 0.888 0.250


Entry 6:
A plane-wave DFT calculation with PBE was carried out for a relaxed structure of Fe2SiW.

Properties
V = 12.81 Å³/atom
formation energy (no corrections) = -33 meV/atom
electronic total energy = -35.4 eV for the cell shown
D(E_F) = 3.3 states/eV/cell

Cell: 3.639 3.639 3.869 Å, 90.00 90.00 90.00°
Positions (direct):
Fe 0.000 0.500 0.000
Fe 0.500 0.000 0.000
Si 0.000 0.000 0.500
W 0.500 0.500 0.500